1.
## Al2TcW (PBE)

Data for a geometry-optimized Al2TcW structure.

abc: 4.372 4.372 4.372
angles: 60.00 60.00 60.00
Sites, in units of the cell vectors:
Al (0.000, 0.000, 0.000)
Al (0.250, 0.250, 0.250)
Tc (0.750, 0.750, 0.750)
W (0.500, 0.500, 0.500)

Space-group type: F-43m, No. 216
Offset from the most stable computed form: 0.155 eV/atom
Total energy: -31.43 eV per cell
DOS(E_F): 2.161 states/eV per cell
Total magnetization: 0.0 μB/f.u.

2.
## MoH3 (PBE)

Data for a geometry-optimized MoH3 structure.

abc: 5.307 5.307 5.307
angles: 150.60 150.60 42.06
Sites, in units of the cell vectors:
Mo (0.000, 0.000, 0.000)
H (0.182, 0.182, 0.000)
H (0.500, 0.500, 0.000)
H (0.818, 0.818, 0.000)

Space-group type: I4/mmm, No. 139
Offset from the most stable computed form: 0.420 eV/atom
Total energy: -18.05 eV per cell
DOS(E_F): 1.438 states/eV per cell
Total magnetization: 0.0 μB/f.u.

3.
## SrTl2Au (PBE)

Data for a geometry-optimized SrTl2Au structure.

abc: 3.955 3.955 7.419
angles: 90.00 90.00 90.00
Sites, in units of the cell vectors:
Sr (0.000, 0.000, 0.000)
Tl (0.000, 0.000, 0.542)
Tl (0.500, 0.500, 0.297)
Au (0.500, 0.500, 0.782)

Space-group type: P4mm, No. 99
Total energy: -10.95 eV per cell
DOS(E_F): 2.453 states/eV per cell
Total magnetization: 0.0 μB/f.u.

4.
## IrPbCl2 (PBE)

Data for a geometry-optimized IrPbCl2 structure.

abc: 8.224 8.224 8.224
angles: 27.14 27.14 27.14
Sites, in units of the cell vectors:
Ir (0.000, 0.000, 0.000)
Pb (0.732, 0.732, 0.732)
Cl (0.281, 0.281, 0.281)
Cl (0.481, 0.481, 0.481)

Space-group type: R3m, No. 160
Offset from the most stable computed form: 0.190 eV/atom
Total energy: -15.90 eV per cell
DOS(E_F): 3.461 states/eV per cell
Total magnetization: 1.0 μB/f.u.
ΔE_f (raw): 0.0900 eV per atom

5.
## PrCu7Ni5 (PBE)

Data for a geometry-optimized PrCu7Ni5 structure.

abc: 6.410 6.410 6.410
angles: 135.78 98.14 98.15
Sites, in units of the cell vectors:
Pr (0.000, 0.000, 0.000)
Cu (0.223, 0.497, 0.726)
Cu (0.350, 0.995, 0.354)
Cu (0.351, 0.351, 0.000)
Cu (0.641, 0.995, 0.646)
Cu (0.645, 0.645, 0.000)
Cu (0.769, 0.269, 0.500)
Cu (0.771, 0.497, 0.274)
Ni (0.224, 0.724, 0.500)
Ni (0.495, 0.497, 0.498)
Ni (0.495, 0.997, 0.998)
Ni (0.999, 0.497, 0.002)
Ni (0.999, 0.997, 0.502)

Space-group type: Imm2, No. 44
Total energy: -63.59 eV per cell
DOS(E_F): 8.995 states/eV per cell
Total magnetization: 0.0 μB/f.u.

6.
## Na3Ga2Se4 (PBE)

Data for a geometry-optimized Na3Ga2Se4 structure.

abc: 8.997 8.997 7.549
angles: 90.16 90.16 52.45
Sites, in units of the cell vectors:
Na (0.010, 0.990, 0.750)
Na (0.288, 0.477, 0.358)
Na (0.477, 0.288, 0.858)
Na (0.523, 0.712, 0.142)
Na (0.712, 0.523, 0.642)
Na (0.990, 0.010, 0.250)
Ga (0.051, 0.325, 0.983)
Ga (0.325, 0.051, 0.483)
Ga (0.675, 0.949, 0.517)
Ga (0.949, 0.675, 0.017)
Se (0.149, 0.327, 0.675)
Se (0.207, 0.681, 0.004)
Se (0.319, 0.793, 0.496)
Se (0.327, 0.149, 0.175)
Se (0.673, 0.851, 0.825)
Se (0.681, 0.207, 0.504)
Se (0.793, 0.319, 0.996)
Se (0.851, 0.673, 0.325)

Space-group type: C2/c, No. 15
Offset from the most stable computed form: 0.017 eV/atom
Total energy: -61.93 eV per cell
DOS(E_F): 8.368 states/eV per cell
Total magnetization: 0.0 μB/f.u.
ΔE_f (raw): -0.7795 eV per atom

7.
## NaUAgS4 (PBE)

Data for a geometry-optimized NaUAgS4 structure.

abc: 7.940 7.940 7.940
angles: 123.73 118.20 88.40
Sites, in units of the cell vectors:
Na (0.500, 0.000, 0.000)
Na (0.500, 0.500, 0.500)
U (0.000, 0.000, 0.000)
U (0.500, 0.000, 0.500)
Ag (0.108, 0.358, 0.750)
Ag (0.892, 0.642, 0.250)
S (0.208, 0.216, 0.992)
S (0.247, 0.222, 0.474)
S (0.247, 0.773, 0.026)
S (0.276, 0.784, 0.492)
S (0.724, 0.216, 0.508)
S (0.753, 0.227, 0.974)
S (0.753, 0.778, 0.526)
S (0.792, 0.784, 0.008)

Space-group type: Imma, No. 74
Total energy: -76.50 eV per cell
Total magnetization: 0.0 μB/f.u.
ΔE_f (raw): -0.8977 eV per atom

8.
## Tm8Bi2Rh3 (PBE)

Data for a geometry-optimized Tm8Bi2Rh3 structure.

abc: 8.999 4.800 9.002
angles: 90.00 114.99 90.00
Sites, in units of the cell vectors:
Tm (0.106, 0.000, 0.394)
Tm (0.145, 0.500, 0.861)
Tm (0.361, 0.500, 0.646)
Tm (0.390, 0.000, 0.110)
Tm (0.610, 0.000, 0.890)
Tm (0.639, 0.500, 0.354)
Tm (0.855, 0.500, 0.139)
Tm (0.894, 0.000, 0.606)
Bi (0.245, 0.500, 0.256)
Bi (0.755, 0.500, 0.744)
Rh (0.252, 0.000, 0.753)
Rh (0.500, 0.500, 0.000)
Rh (0.748, 0.000, 0.247)

Space-group type: P2/m, No. 10
Total energy: -73.85 eV per cell
DOS(E_F): 6.953 states/eV per cell
Total magnetization: 0.0 μB/f.u.

9.
## PuMnV (PBE)

Data for a geometry-optimized PuMnV structure.

abc: 5.336 5.336 4.110
angles: 90.00 90.00 133.65
Sites, in units of the cell vectors:
Pu (0.064, 0.936, 0.750)
Pu (0.936, 0.064, 0.250)
Mn (0.258, 0.742, 0.250)
Mn (0.742, 0.258, 0.750)
V (0.388, 0.612, 0.750)
V (0.612, 0.388, 0.250)

Space-group type: Cmcm, No. 63
Offset from the most stable computed form: 0.000 eV/atom
Total energy: -64.30 eV per cell
DOS(E_F): 6.767 states/eV per cell
Total magnetization: 0.0 μB/f.u.

10.
## MgCu2SbMo (PBE)

Data for a geometry-optimized MgCu2SbMo structure.

abc: 4.808 4.808 5.422
angles: 90.00 90.00 90.00
Sites, in units of the cell vectors:
Mg (0.000, 0.000, 0.000)
Cu (0.000, 0.500, 0.500)
Cu (0.500, 0.000, 0.500)
Sb (0.000, 0.000, 0.500)
Mo (0.500, 0.500, 0.000)

Space-group type: P4/mmm, No. 123
Total energy: -18.50 eV per cell
DOS(E_F): 2.222 states/eV per cell
Total magnetization: 4.9 μB/f.u.
ΔE_f (raw): 1.2486 eV per atom

11.
## AsNF2 (PBE)

Data for a geometry-optimized AsNF2 structure.

abc: 7.462 7.462 7.462
angles: 21.41 21.41 21.41
Sites, in units of the cell vectors:
As (0.000, 0.000, 0.000)
N (0.500, 0.500, 0.500)
F (0.418, 0.418, 0.418)
F (0.582, 0.582, 0.582)

Space-group type: R-3m, No. 166
Total energy: -14.20 eV per cell
DOS(E_F): 1.670 states/eV per cell
Total magnetization: 0.0 μB/f.u.
ΔE_f (raw): 0.6300 eV per atom

12.
## Sr3NO (PBE)

Data for a geometry-optimized Sr3NO structure.

abc: 6.582 3.992 10.129
angles: 90.00 102.85 90.00
Sites, in units of the cell vectors:
Sr (0.187, 0.250, 0.100)
Sr (0.283, 0.750, 0.400)
Sr (0.286, 0.250, 0.745)
Sr (0.714, 0.750, 0.255)
Sr (0.717, 0.250, 0.600)
Sr (0.813, 0.750, 0.900)
N (0.029, 0.750, 0.173)
N (0.971, 0.250, 0.827)
O (0.496, 0.750, 0.657)
O (0.504, 0.250, 0.343)

Space-group type: P2_1/m, No. 11
Offset from the most stable computed form: 0.000 eV/atom
Total energy: -49.14 eV per cell
DOS(E_F): 3.571 states/eV per cell
Total magnetization: 0.0 μB/f.u.
ΔE_f (raw): -1.2484 eV per atom

13.
## UNi12B6 (PBE)

Data for a geometry-optimized UNi12B6 structure.

abc: 6.012 6.012 6.012
angles: 104.54 104.54 104.54
Sites, in units of the cell vectors:
U (0.000, 0.000, 0.000)
Ni (0.130, 0.500, 0.870)
Ni (0.130, 0.870, 0.500)
Ni (0.186, 0.451, 0.451)
Ni (0.451, 0.186, 0.451)
Ni (0.451, 0.451, 0.186)
Ni (0.500, 0.130, 0.870)
Ni (0.500, 0.870, 0.130)
Ni (0.549, 0.549, 0.814)
Ni (0.549, 0.814, 0.549)
Ni (0.814, 0.549, 0.549)
Ni (0.870, 0.130, 0.500)
Ni (0.870, 0.500, 0.130)
B (0.235, 0.235, 0.673)
B (0.235, 0.673, 0.235)
B (0.327, 0.765, 0.765)
B (0.673, 0.235, 0.235)
B (0.765, 0.327, 0.765)
B (0.765, 0.765, 0.327)

Space-group type: R-3m, No. 166
Total energy: -126.56 eV per cell
DOS(E_F): 15.232 states/eV per cell
Total magnetization: 2.3 μB/f.u.

14.
## VFe3Au (PBE)

Data for a geometry-optimized VFe3Au structure.

abc: 4.712 4.712 4.712
angles: 90.00 90.00 90.00
Sites, in units of the cell vectors:
V (0.000, 0.000, 0.000)
Fe (0.000, 0.500, 0.500)
Fe (0.500, 0.000, 0.500)
Fe (0.500, 0.500, 0.000)
Au (0.500, 0.500, 0.500)

Space-group type: Pm-3m, No. 221
Offset from the most stable computed form: 0.659 eV/atom
Total energy: -29.58 eV per cell
DOS(E_F): 9.928 states/eV per cell
Total magnetization: 12.7 μB/f.u.

15.
## Ce2DyTh9 (PBE)

Data for a geometry-optimized Ce2DyTh9 structure.

abc: 4.993 4.993 15.051
angles: 90.00 90.00 90.00
Sites, in units of the cell vectors:
Ce (0.000, 0.000, 0.166)
Ce (0.000, 0.000, 0.834)
Dy (0.000, 0.000, 0.500)
Th (0.000, 0.500, 0.000)
Th (0.000, 0.500, 0.330)
Th (0.000, 0.500, 0.670)
Th (0.500, 0.000, 0.000)
Th (0.500, 0.000, 0.330)
Th (0.500, 0.000, 0.670)
Th (0.500, 0.500, 0.163)
Th (0.500, 0.500, 0.500)
Th (0.500, 0.500, 0.837)

Space-group type: P4/mmm, No. 123
Total energy: -82.90 eV per cell
DOS(E_F): 22.405 states/eV per cell
Total magnetization: 0.0 μB/f.u.

16.
## Sm2NbO5 (PBE)

Data for a geometry-optimized Sm2NbO5 structure.

abc: 10.840 3.837 11.725
angles: 90.00 90.00 90.00
Sites, in units of the cell vectors:
Sm (0.124, 0.250, 0.231)
Sm (0.133, 0.250, 0.560)
Sm (0.367, 0.750, 0.060)
Sm (0.376, 0.750, 0.731)
Sm (0.624, 0.250, 0.269)
Sm (0.633, 0.250, 0.940)
Sm (0.867, 0.750, 0.440)
Sm (0.876, 0.750, 0.769)
Nb (0.162, 0.250, 0.890)
Nb (0.338, 0.750, 0.390)
Nb (0.662, 0.250, 0.610)
Nb (0.838, 0.750, 0.110)
O (0.003, 0.750, 0.603)
O (0.004, 0.750, 0.161)
O (0.230, 0.250, 0.051)
O (0.236, 0.750, 0.890)
O (0.250, 0.250, 0.736)
O (0.250, 0.750, 0.236)
O (0.264, 0.250, 0.390)
O (0.270, 0.750, 0.551)
O (0.496, 0.250, 0.661)
O (0.497, 0.250, 0.103)
O (0.503, 0.750, 0.897)
O (0.504, 0.750, 0.339)
O (0.730, 0.250, 0.449)
O (0.736, 0.750, 0.610)
O (0.750, 0.250, 0.764)
O (0.750, 0.750, 0.264)
O (0.764, 0.250, 0.110)
O (0.770, 0.750, 0.949)
O (0.996, 0.250, 0.839)
O (0.997, 0.250, 0.397)

Space-group type: Pnma, No. 62
Total energy: -274.90 eV per cell
DOS(E_F): 5.223 states/eV per cell
Total magnetization: 1.0 μB/f.u.
ΔE_f (raw): -3.0534 eV per atom

17.
## Sb3C4 (PBE)

Data for a geometry-optimized Sb3C4 structure.

abc: 7.072 7.072 2.792
angles: 90.00 90.00 120.00
Sites, in units of the cell vectors:
Sb (0.000, 0.500, 0.000)
Sb (0.500, 0.000, 0.000)
Sb (0.500, 0.500, 0.000)
C (0.000, 0.000, 0.257)
C (0.000, 0.000, 0.743)
C (0.333, 0.667, 0.500)
C (0.667, 0.333, 0.500)

Space-group type: P6/mmm, No. 191
Offset from the most stable computed form: 0.167 eV/atom
Total energy: -36.56 eV per cell
DOS(E_F): 5.100 states/eV per cell
Total magnetization: 0.0 μB/f.u.
ΔE_f (raw): 1.8142 eV per atom

18.
## Cd2Ag2Hg (PBE)

Data for a geometry-optimized Cd2Ag2Hg structure.

abc: 5.320 5.320 9.748
angles: 90.58 90.58 46.99
Sites, in units of the cell vectors:
Cd (0.049, 0.049, 0.146)
Cd (0.147, 0.147, 0.450)
Cd (0.853, 0.853, 0.550)
Cd (0.951, 0.951, 0.854)
Ag (0.353, 0.353, 0.048)
Ag (0.451, 0.451, 0.352)
Ag (0.549, 0.549, 0.648)
Ag (0.647, 0.647, 0.952)
Hg (0.248, 0.248, 0.756)
Hg (0.752, 0.752, 0.244)

Space-group type: C2/m, No. 12
Offset from the most stable computed form: 0.005 eV/atom
Total energy: -15.60 eV per cell
DOS(E_F): 2.757 states/eV per cell
Total magnetization: 0.0 μB/f.u.

19.
## PmPuTh (PBE)

Data for a geometry-optimized PmPuTh structure.

abc: 7.796 7.796 7.796
angles: 153.79 153.79 37.41
Sites, in units of the cell vectors:
Pm (0.000, 0.000, 0.000)
Pu (0.675, 0.675, 0.000)
Th (0.328, 0.328, 0.000)

Space-group type: I4mm, No. 107
Offset from the most stable computed form: 0.000 eV/atom
Total energy: -26.13 eV per cell
DOS(E_F): 7.365 states/eV per cell
Total magnetization: 5.8 μB/f.u.

20.
## NdMg6Cd2 (PBE)

Data for a geometry-optimized NdMg6Cd2 structure.

abc: 9.225 9.225 9.225
angles: 60.00 60.00 60.00
Sites, in units of the cell vectors:
Nd (0.125, 0.125, 0.125)
Nd (0.875, 0.875, 0.875)
Mg (0.126, 0.126, 0.624)
Mg (0.126, 0.624, 0.126)
Mg (0.126, 0.624, 0.624)
Mg (0.376, 0.376, 0.874)
Mg (0.376, 0.874, 0.376)
Mg (0.376, 0.874, 0.874)
Mg (0.624, 0.126, 0.126)
Mg (0.624, 0.126, 0.624)
Mg (0.624, 0.624, 0.126)
Mg (0.874, 0.376, 0.376)
Mg (0.874, 0.376, 0.874)
Mg (0.874, 0.874, 0.376)
Cd (0.000, 0.500, 0.500)
Cd (0.500, 0.000, 0.500)
Cd (0.500, 0.500, 0.000)
Cd (0.500, 0.500, 0.500)

Space-group type: Fd-3m, No. 227
Offset from the most stable computed form: 0.469 eV/atom
Total energy: -25.88 eV per cell
DOS(E_F): 16.258 states/eV per cell
Total magnetization: 0.5 μB/f.u.

21.
## PdPtCl2 (PBE)

Data for a geometry-optimized PdPtCl2 structure.

abc: 5.771 5.771 5.771
angles: 107.98 107.98 112.50
Sites, in units of the cell vectors:
Pd (0.000, 0.000, 0.000)
Pd (0.750, 0.250, 0.500)
Pt (0.250, 0.750, 0.500)
Pt (0.500, 0.500, 0.000)
Cl (0.138, 0.625, 0.013)
Cl (0.375, 0.388, 0.513)
Cl (0.612, 0.125, 0.987)
Cl (0.875, 0.862, 0.487)

Space-group type: I-42d, No. 122
Offset from the most stable computed form: 0.169 eV/atom
Total energy: -27.12 eV per cell
DOS(E_F): 9.777 states/eV per cell
Total magnetization: 0.0 μB/f.u.
ΔE_f (raw): 0.3416 eV per atom

22.
## CaSb2Ru (PBE)

Data for a geometry-optimized CaSb2Ru structure.

abc: 7.784 7.784 7.784
angles: 155.47 150.38 38.82
Sites, in units of the cell vectors:
Ca (0.000, 0.000, 0.000)
Sb (0.371, 0.371, 0.000)
Sb (0.664, 0.164, 0.500)
Ru (0.229, 0.729, 0.500)

Space-group type: Imm2, No. 44
Total energy: -20.63 eV per cell
DOS(E_F): 2.779 states/eV per cell
Total magnetization: 0.0 μB/f.u.
ΔE_f (raw): -0.2760 eV per atom